## LaTbHo2 (PBE)

Data for a relaxed structure of LaTbHo2.

Properties
Magnetic moment: 0.000 μB per formula unit
Offset from the most stable computed form: 15 meV/atom
Volume: 32.75 A^3/atom

```
data_LaTbHo2
_space_group_name_H-M_alt 'C m c m'
_space_group_IT_number 63
_space_group_name_Hall '-C 2c 2'
_cell_length_a 10.046
_cell_length_b 10.217
_cell_length_c 5.106
_cell_angle_alpha 90.00
_cell_angle_beta 90.00
_cell_angle_gamma 90.00
loop_
_atom_site_label
_atom_site_fract_x
_atom_site_fract_y
_atom_site_fract_z
La1 0.000 0.128 0.250
Tb1 0.000 0.378 0.750
Ho1 0.249 0.375 0.250
```

=====

## La2Tb9Ho (PBE)

Data for a relaxed structure of La2Tb9Ho.

Properties
Magnetic moment: 0.000 μB per formula unit
Offset from the most stable computed form: 0 meV/atom
Volume: 32.76 A^3/atom

```
data_La2Tb9Ho
_space_group_name_H-M_alt 'P 4/m m m'
_space_group_IT_number 123
_space_group_name_Hall '-P 4 2'
_cell_length_a 5.076
_cell_length_b 5.076
_cell_length_c 15.255
_cell_angle_alpha 90.00
_cell_angle_beta 90.00
_cell_angle_gamma 90.00
loop_
_atom_site_label
_atom_site_fract_x
_atom_site_fract_y
_atom_site_fract_z
La1 0.000 0.000 0.167
Tb1 0.000 0.500 0.000
Tb2 0.000 0.500 0.337
Tb3 0.500 0.500 0.169
Tb4 0.500 0.500 0.500
Ho1 0.000 0.000 0.500
```

=====

## La8TbHo3 (PBE)

Data for a relaxed structure of La8TbHo3.

Properties
Magnetic moment: 0.002 μB per formula unit
Calculated total energy: -4.49 eV/atom
Volume: 37.41 A^3/atom

```
data_La8TbHo3
_space_group_name_H-M_alt 'I 2 2 2'
_space_group_IT_number 23
_space_group_name_Hall 'I 2 2'
_cell_length_a 6.665
_cell_length_b 11.249
_cell_length_c 11.975
_cell_angle_alpha 90.00
_cell_angle_beta 90.00
_cell_angle_gamma 90.00
loop_
_atom_site_label
_atom_site_fract_x
_atom_site_fract_y
_atom_site_fract_z
La1 0.001 0.158 0.250
La2 0.248 0.251 0.472
Tb1 0.000 0.000 0.000
Ho1 0.000 0.000 0.500
Ho2 0.000 0.500 0.241
```

=====

## La2TbHo (PBE)

Data for a relaxed structure of La2TbHo.

Properties
Magnetic moment: 0.000 μB per formula unit
Offset from the most stable computed form: 10 meV/atom
Volume: 34.14 A^3/atom

```
data_La2TbHo
_space_group_name_H-M_alt 'P 4/m m m'
_space_group_IT_number 123
_space_group_name_Hall '-P 4 2'
_cell_length_a 5.218
_cell_length_b 5.218
_cell_length_c 5.017
_cell_angle_alpha 90.00
_cell_angle_beta 90.00
_cell_angle_gamma 90.00
loop_
_atom_site_label
_atom_site_fract_x
_atom_site_fract_y
_atom_site_fract_z
La1 0.000 0.500 0.000
Tb1 0.000 0.000 0.500
Ho1 0.500 0.500 0.500
```

=====

## LaTb3Ho4 (PBE)

Data for a relaxed structure of LaTb3Ho4.

Properties
Magnetic moment: 0.000 μB per formula unit
Offset from the most stable computed form: 109 meV/atom
Volume: 32.87 A^3/atom

```
data_LaTb3Ho4
_space_group_name_H-M_alt 'C 1 2/m 1'
_space_group_IT_number 12
_space_group_name_Hall '-C 2y'
_cell_length_a 12.093
_cell_length_b 13.011
_cell_length_c 3.484
_cell_angle_alpha 90.00
_cell_angle_beta 106.37
_cell_angle_gamma 90.00
loop_
_atom_site_label
_atom_site_fract_x
_atom_site_fract_y
_atom_site_fract_z
La1 0.000 0.000 0.000
Tb1 0.000 0.259 0.500
Tb2 0.000 0.500 0.000
Ho1 0.244 0.364 0.244
```

=====

## La12TbHo3 (PBE)

Data for a relaxed structure of La12TbHo3.

Properties
Magnetic moment: 0.000 μB per formula unit
Calculated total energy: -4.84 eV/atom
Volume: 35.20 A^3/atom

```
data_La12TbHo3
_space_group_name_H-M_alt 'P 4/m m m'
_space_group_IT_number 123
_space_group_name_Hall '-P 4 2'
_cell_length_a 5.204
_cell_length_b 5.204
_cell_length_c 20.798
_cell_angle_alpha 90.00
_cell_angle_beta 90.00
_cell_angle_gamma 90.00
loop_
_atom_site_label
_atom_site_fract_x
_atom_site_fract_y
_atom_site_fract_z
La1 0.000 0.000 0.000
La2 0.000 0.000 0.250
La3 0.000 0.000 0.500
La4 0.000 0.500 0.125
La5 0.000 0.500 0.375
Tb1 0.500 0.500 0.000
Ho1 0.500 0.500 0.250
Ho2 0.500 0.500 0.500
```

=====

## La2Tb3Ho7 (PBE)

Data for a relaxed structure of La2Tb3Ho7.

Properties
Magnetic moment: 0.000 μB per formula unit
Offset from the most stable computed form: 34 meV/atom
Volume: 32.76 A^3/atom

```
data_La2Tb3Ho7
_space_group_name_H-M_alt 'C m m m'
_space_group_IT_number 65
_space_group_name_Hall '-C 2 2'
_cell_length_a 5.702
_cell_length_b 38.150
_cell_length_c 3.614
_cell_angle_alpha 90.00
_cell_angle_beta 90.00
_cell_angle_gamma 90.00
loop_
_atom_site_label
_atom_site_fract_x
_atom_site_fract_y
_atom_site_fract_z
La1 0.000 0.147 0.000
Tb1 0.000 0.313 0.500
Tb2 0.000 0.500 0.500
Ho1 0.000 0.000 0.000
Ho2 0.000 0.070 0.500
Ho3 0.000 0.231 0.000
Ho4 0.000 0.412 0.000
```

=====

## La12Tb5Ho (PBE)

Data for a relaxed structure of La12Tb5Ho.

Properties
Magnetic moment: 0.001 μB per formula unit
Calculated total energy: -4.81 eV/atom
Volume: 35.25 A^3/atom

```
data_La12Tb5Ho
_space_group_name_H-M_alt 'C 1 2/m 1'
_space_group_IT_number 12
_space_group_name_Hall '-C 2y'
_cell_length_a 19.149
_cell_length_b 10.962
_cell_length_c 6.399
_cell_angle_alpha 90.00
_cell_angle_beta 109.13
_cell_angle_gamma 90.00
loop_
_atom_site_label
_atom_site_fract_x
_atom_site_fract_y
_atom_site_fract_z
La1 0.000 0.170 0.000
La2 0.000 0.329 0.500
La3 0.167 0.171 0.833
La4 0.167 0.329 0.333
Tb1 0.000 0.500 0.000
Tb2 0.166 0.000 0.333
Tb3 0.167 0.500 0.833
Ho1 0.000 0.000 0.500
```

=====

## LaTb4Ho15 (PBE)

Data for a relaxed structure of LaTb4Ho15.

Properties
Magnetic moment: 0.000 μB per formula unit
Calculated total energy: -4.58 eV/atom
Volume: 31.48 A^3/atom

```
data_LaTb4Ho15
_space_group_name_H-M_alt 'P 4/m m m'
_space_group_IT_number 123
_space_group_name_Hall '-P 4 2'
_cell_length_a 5.014
_cell_length_b 5.014
_cell_length_c 25.044
_cell_angle_alpha 90.00
_cell_angle_beta 90.00
_cell_angle_gamma 90.00
loop_
_atom_site_label
_atom_site_fract_x
_atom_site_fract_y
_atom_site_fract_z
La1 0.000 0.000 0.000
Tb1 0.000 0.000 0.201
Tb2 0.000 0.000 0.401
Ho1 0.000 0.500 0.102
Ho2 0.000 0.500 0.301
Ho3 0.000 0.500 0.500
Ho4 0.500 0.500 0.000
Ho5 0.500 0.500 0.202
Ho6 0.500 0.500 0.400
```

=====

## LaTb4Ho4 (PBE)

Data for a relaxed structure of LaTb4Ho4.

Properties
Magnetic moment: 0.000 μB per formula unit
Offset from the most stable computed form: 0 meV/atom
Volume: 32.10 A^3/atom

```
data_LaTb4Ho4
_space_group_name_H-M_alt 'I 4/m m m'
_space_group_IT_number 139
_space_group_name_Hall '-I 4 2'
_cell_length_a 10.713
_cell_length_b 10.713
_cell_length_c 5.035
_cell_angle_alpha 90.00
_cell_angle_beta 90.00
_cell_angle_gamma 90.00
loop_
_atom_site_label
_atom_site_fract_x
_atom_site_fract_y
_atom_site_fract_z
La1 0.000 0.000 0.000
Tb1 0.000 0.334 0.000
Ho1 0.168 0.168 0.500
```

=====

## La4Tb11Ho9 (PBE)

Data for a relaxed structure of La4Tb11Ho9.

Properties
Magnetic moment: 0.002 μB per formula unit
Calculated total energy: -4.59 eV/atom
Volume: 32.68 A^3/atom

```
data_La4Tb11Ho9
_space_group_name_H-M_alt 'C m m m'
_space_group_IT_number 65
_space_group_name_Hall '-C 2 2'
_cell_length_a 16.808
_cell_length_b 25.170
_cell_length_c 3.708
_cell_angle_alpha 90.00
_cell_angle_beta 90.00
_cell_angle_gamma 90.00
loop_
_atom_site_label
_atom_site_fract_x
_atom_site_fract_y
_atom_site_fract_z
La1 0.154 0.100 0.000
Tb1 0.000 0.137 0.500
Tb2 0.000 0.341 0.500
Tb3 0.000 0.500 0.500
Tb4 0.216 0.000 0.500
Tb5 0.226 0.319 0.500
Ho1 0.000 0.000 0.000
Ho2 0.101 0.237 0.000
Ho3 0.138 0.427 0.000
```

=====

## La2Tb7Ho (PBE)

Data for a relaxed structure of La2Tb7Ho.

Properties
Magnetic moment: 0.002 μB per formula unit
Offset from the most stable computed form: 132 meV/atom
Volume: 33.69 A^3/atom

```
data_La2Tb7Ho
_space_group_name_H-M_alt 'C m m m'
_space_group_IT_number 65
_space_group_name_Hall '-C 2 2'
_cell_length_a 6.605
_cell_length_b 29.060
_cell_length_c 3.510
_cell_angle_alpha 90.00
_cell_angle_beta 90.00
_cell_angle_gamma 90.00
loop_
_atom_site_label
_atom_site_fract_x
_atom_site_fract_y
_atom_site_fract_z
La1 0.000 0.206 0.000
Tb1 0.000 0.000 0.000
Tb2 0.000 0.316 0.500
Tb3 0.244 0.403 0.000
Ho1 0.000 0.500 0.500
```

=====

## La2TbHo (PBE)

Data for a relaxed structure of La2TbHo.

Properties
Magnetic moment: 0.000 μB per formula unit
Offset from the most stable computed form: 0 meV/atom
Volume: 33.99 A^3/atom

```
data_La2TbHo
_space_group_name_H-M_alt 'R -3 m'
_space_group_IT_number 166
_space_group_name_Hall '-R 3 2"'
_cell_length_a 3.6600
_cell_length_b 3.6600
_cell_length_c 35.1536
_cell_angle_alpha 90.00
_cell_angle_beta 90.00
_cell_angle_gamma 120.00
loop_
_atom_site_label
_atom_site_fract_x
_atom_site_fract_y
_atom_site_fract_z
La1 0.0000 0.0000 0.2504
Tb1 0.0000 0.0000 0.5000
Ho1 0.0000 0.0000 0.0000
```

=====

## La3Tb2Ho (PBE)

Data for a relaxed structure of La3Tb2Ho.

Properties
Magnetic moment: 0.000 μB per formula unit
Offset from the most stable computed form: 242 meV/atom
Volume: 34.61 A^3/atom

```
data_La3Tb2Ho
_space_group_name_H-M_alt 'I m m m'
_space_group_IT_number 71
_space_group_name_Hall '-I 2 2'
_cell_length_a 3.484
_cell_length_b 6.033
_cell_length_c 19.757
_cell_angle_alpha 90.00
_cell_angle_beta 90.00
_cell_angle_gamma 90.00
loop_
_atom_site_label
_atom_site_fract_x
_atom_site_fract_y
_atom_site_fract_z
La1 0.000 0.000 0.000
La2 0.000 0.500 0.187
Tb1 0.000 0.500 0.363
Ho1 0.000 0.500 0.000
```

=====

## LaTb3Ho3 (PBE)

Data for a relaxed structure of LaTb3Ho3.

Properties
Magnetic moment: 0.000 μB per formula unit
Calculated total energy: -4.63 eV/atom
Volume: 32.58 A^3/atom

```
data_LaTb3Ho3
_space_group_name_H-M_alt 'P 63/m'
_space_group_IT_number 176
_space_group_name_Hall '-P 6c'
_cell_length_a 9.6027
_cell_length_b 9.6027
_cell_length_c 5.7122
_cell_angle_alpha 90.00
_cell_angle_beta 90.00
_cell_angle_gamma 120.00
loop_
_atom_site_label
_atom_site_fract_x
_atom_site_fract_y
_atom_site_fract_z
La1 0.3333 0.6667 0.2500
Tb1 0.0954 0.6199 0.7500
Ho1 0.0464 0.8125 0.2500
```

=====

## La3Tb8Ho (PBE)

Data for a relaxed structure of La3Tb8Ho.

Properties
Magnetic moment: 0.002 μB per formula unit
Calculated total energy: -4.11 eV/atom
Volume: 36.91 A^3/atom

```
data_La3Tb8Ho
_space_group_name_H-M_alt 'I -4 2 m'
_space_group_IT_number 121
_space_group_name_Hall 'I -4 2'
_cell_length_a 8.833
_cell_length_b 8.833
_cell_length_c 11.354
_cell_angle_alpha 90.00
_cell_angle_beta 90.00
_cell_angle_gamma 90.00
loop_
_atom_site_label
_atom_site_fract_x
_atom_site_fract_y
_atom_site_fract_z
La1 0.000 0.000 0.000
La2 0.000 0.500 0.250
Tb1 0.123 0.123 0.254
Tb2 0.245 0.245 0.510
Ho1 0.000 0.000 0.500
```

=====

## LaTb2Ho7 (PBE)

Data for a relaxed structure of LaTb2Ho7.

Properties
Magnetic moment: 0.000 μB per formula unit
Offset from the most stable computed form: 673 meV/atom
Volume: 39.45 A^3/atom

```
data_LaTb2Ho7
_space_group_name_H-M_alt 'C m m m'
_space_group_IT_number 65
_space_group_name_Hall '-C 2 2'
_cell_length_a 8.701
_cell_length_b 16.137
_cell_length_c 5.619
_cell_angle_alpha 90.00
_cell_angle_beta 90.00
_cell_angle_gamma 90.00
loop_
_atom_site_label
_atom_site_fract_x
_atom_site_fract_y
_atom_site_fract_z
La1 0.000 0.000 0.000
Tb1 0.000 0.297 0.500
Ho1 0.000 0.218 0.000
Ho2 0.000 0.500 0.500
Ho3 0.177 0.116 0.500
```

=====

## La2TbHo3 (PBE)

Data for a relaxed structure of La2TbHo3.

Properties
Magnetic moment: 0.000 μB per formula unit
Offset from the most stable computed form: 66 meV/atom
Volume: 33.63 A^3/atom

```
data_La2TbHo3
_space_group_name_H-M_alt 'C 1 2/m 1'
_space_group_IT_number 12
_space_group_name_Hall '-C 2y'
_cell_length_a 17.057
_cell_length_b 5.598
_cell_length_c 10.270
_cell_angle_alpha 90.00
_cell_angle_beta 124.61
_cell_angle_gamma 90.00
loop_
_atom_site_label
_atom_site_fract_x
_atom_site_fract_y
_atom_site_fract_z
La1 0.013 0.000 0.367
La2 0.225 0.500 0.365
Tb1 0.136 0.500 0.650
Ho1 0.052 0.500 0.901
Ho2 0.111 0.000 0.151
Ho3 0.204 0.000 0.921
```

=====

## La5Tb6Ho (PBE)

Data for a relaxed structure of La5Tb6Ho.

Properties
Magnetic moment: 0.000 μB per formula unit
Calculated total energy: -4.72 eV/atom
Volume: 34.02 A^3/atom

```
data_La5Tb6Ho
_space_group_name_H-M_alt 'P -1'
_space_group_IT_number 2
_space_group_name_Hall '-P 1'
_cell_length_a 6.247
_cell_length_b 7.332
_cell_length_c 9.638
_cell_angle_alpha 112.33
_cell_angle_beta 91.18
_cell_angle_gamma 90.05
loop_
_atom_site_label
_atom_site_fract_x
_atom_site_fract_y
_atom_site_fract_z
La1 0.000 0.000 0.000
La2 0.330 0.336 0.671
La3 0.335 0.833 0.666
Tb1 0.168 0.417 0.331
Tb2 0.168 0.915 0.331
Tb3 0.500 0.252 0.000
Ho1 0.000 0.500 0.000
```

=====

## La5TbHo3 (PBE)

Data for a relaxed structure of La5TbHo3.

Properties
Magnetic moment: 0.000 μB per formula unit
Offset from the most stable computed form: 55 meV/atom
Volume: 35.48 A^3/atom

```
data_La5TbHo3
_space_group_name_H-M_alt 'I 4/m c m'
_space_group_IT_number 140
_space_group_name_Hall '-I 4 2c'
_cell_length_a 9.401
_cell_length_b 9.401
_cell_length_c 14.452
_cell_angle_alpha 90.00
_cell_angle_beta 90.00
_cell_angle_gamma 90.00
loop_
_atom_site_label
_atom_site_fract_x
_atom_site_fract_y
_atom_site_fract_z
La1 0.000 0.000 0.000
La2 0.200 0.300 0.135
Tb1 0.000 0.500 0.250
Ho1 0.000 0.000 0.250
Ho2 0.110 0.390 0.500
```

=====

## LaTbHo2 (PBE)

Data for a relaxed structure of LaTbHo2.

Properties
Magnetic moment: 0.000 μB per formula unit
Offset from the most stable computed form: 9 meV/atom
Volume: 32.58 A^3/atom

```
data_LaTbHo2
_space_group_name_H-M_alt 'R -3 m'
_space_group_IT_number 166
_space_group_name_Hall '-R 3 2"'
_cell_length_a 3.5945
_cell_length_b 3.5945
_cell_length_c 34.9406
_cell_angle_alpha 90.00
_cell_angle_beta 90.00
_cell_angle_gamma 120.00
loop_
_atom_site_label
_atom_site_fract_x
_atom_site_fract_y
_atom_site_fract_z
La1 0.0000 0.0000 0.0000
Tb1 0.0000 0.0000 0.5000
Ho1 0.0000 0.0000 0.2483
```